DyHoSe2F2 | GGA-PBE | relaxed

a b c (Å): 3.8349 3.8349 7.0070
angles (deg): 90.00 90.00 90.00
Fractional positions:
Dy: 0.0000 0.0000 0.2161
F: 0.5000 0.0000 0.9994
F: 0.0000 0.5000 0.9994
Ho: 0.5000 0.5000 0.7837
Se: 0.5000 0.5000 0.3600
Se: 0.0000 0.0000 0.6415

Output
Total energy   -6.17 eV/atom
Space-group type   P4mm (99)
Mass density   8.43 g cm⁻³